No. 1
# ZnHgTeO

A relaxed structure of ZnHgTeO (PBE-GGA, the Open Quantum Materials Database).

Properties
VASP energy ... -2.80 eV per atom
Polymorph energy (0 for the lowest one) ... 217 meV per atom

Cell: 7.9181 7.9181 6.6611 Å, 90.00 90.00 155.89°
Sites, in units of the cell vectors:
Zn1 0.1456 0.8544 0.5000
Zn2 0.8544 0.1456 0.0000
Hg1 0.4499 0.5501 0.5671
Hg2 0.5501 0.4499 0.0671
Te1 0.1949 0.8051 0.8851
Te2 0.8051 0.1949 0.3851
O1 0.4130 0.5870 0.9166
O2 0.5870 0.4130 0.4166



No. 2
# LuBeGaFe

A relaxed structure of LuBeGaFe (PBE-GGA, the Open Quantum Materials Database).

Properties
VASP energy ... -4.85 eV per atom
Polymorph energy (0 for the lowest one) ... 61 meV per atom

Cell: 4.3733 4.3733 4.3733 Å, 60.00 60.00 60.00°
Sites, in units of the cell vectors:
Lu1 0.0000 0.0000 0.0000
Be1 0.2500 0.2500 0.2500
Ga1 0.5000 0.5000 0.5000
Fe1 0.7500 0.7500 0.7500



No. 3
# Hf2ZnAu3

A relaxed structure of Hf2ZnAu3 (PBE-GGA, the Open Quantum Materials Database).

Properties
VASP energy ... -5.55 eV per atom
Energy relative to the elements ... -0.387 eV per atom

Cell: 3.5106 3.5106 8.9859 Å, 90.00 90.00 90.00°
Sites, in units of the cell vectors:
Hf1 0.0000 0.0000 0.0000
Hf2 0.5000 0.5000 0.4947
Zn1 0.5000 0.5000 0.8301
Au1 0.0000 0.0000 0.3332
Au2 0.0000 0.0000 0.6792
Au3 0.5000 0.5000 0.1613



No. 4
# GdYSi

A relaxed structure of GdYSi (PBE-GGA, the Open Quantum Materials Database).

Properties
VASP energy ... -6.00 eV per atom
Polymorph energy (0 for the lowest one) ... 0 meV per atom

Cell: 4.8716 4.8716 4.8716 Å, 60.00 60.00 60.00°
Sites, in units of the cell vectors:
Gd1 0.0000 0.0000 0.0000
Y1 0.5000 0.5000 0.5000
Si1 0.2500 0.2500 0.2500



No. 5
# Zn2CuPd

A relaxed structure of Zn2CuPd (PBE-GGA, the Open Quantum Materials Database).

Properties
VASP energy ... -3.10 eV per atom
Energy relative to the elements ... -0.248 eV per atom

Cell: 4.2760 4.2760 4.2760 Å, 60.00 60.00 60.00°
Sites, in units of the cell vectors:
Zn1 0.0000 0.0000 0.0000
Zn2 0.2500 0.2500 0.2500
Cu1 0.5000 0.5000 0.5000
Pd1 0.7500 0.7500 0.7500



No. 6
# Y3Zn2Cd3Hg

A relaxed structure of Y3Zn2Cd3Hg (PBE-GGA, the Open Quantum Materials Database).

Properties
VASP energy ... -3.15 eV per atom
Energy relative to the elements ... -0.383 eV per atom

Cell: 7.6690 7.6690 4.0304 Å, 90.00 90.00 120.00°
Sites, in units of the cell vectors:
Y1 0.0000 0.4083 0.0000
Y2 0.4083 0.0000 0.0000
Y3 0.5917 0.5917 0.0000
Zn1 0.3333 0.6667 0.5000
Zn2 0.6667 0.3333 0.5000
Cd1 0.0000 0.7266 0.5000
Cd2 0.2734 0.2734 0.5000
Cd3 0.7266 0.0000 0.5000
Hg1 0.0000 0.0000 0.0000



No. 7
# LiZnCu4Sn2

A relaxed structure of LiZnCu4Sn2 (PBE-GGA, the Open Quantum Materials Database).

Properties
VASP energy ... -3.29 eV per atom

Cell: 4.4151 4.4151 6.2390 Å, 90.00 90.00 90.00°
Sites, in units of the cell vectors:
Li1 0.0000 0.0000 0.0000
Zn1 0.5000 0.5000 0.5000
Cu1 0.0000 0.5000 0.2500
Cu2 0.0000 0.5000 0.7500
Cu3 0.5000 0.0000 0.2500
Cu4 0.5000 0.0000 0.7500
Sn1 0.0000 0.0000 0.5000
Sn2 0.5000 0.5000 0.0000



No. 8
# GdDy2As3

A relaxed structure of GdDy2As3 (PBE-GGA, the Open Quantum Materials Database).

Properties
VASP energy ... -6.17 eV per atom

Cell: 4.1288 4.1288 10.1038 Å, 90.00 90.00 120.00°
Sites, in units of the cell vectors:
Gd1 0.0000 0.0000 0.0000
Dy1 0.3333 0.6667 0.3341
Dy2 0.6667 0.3333 0.6659
As1 0.0000 0.0000 0.5000
As2 0.3333 0.6667 0.8313
As3 0.6667 0.3333 0.1687



No. 9
# SiBiMo4C2

A relaxed structure of SiBiMo4C2 (PBE-GGA, the Open Quantum Materials Database).

Properties
VASP energy ... -8.86 eV per atom

Cell: 3.2145 3.2145 13.0767 Å, 90.00 90.00 120.00°
Sites, in units of the cell vectors:
Si1 0.0000 0.0000 0.0000
Bi1 0.6667 0.3333 0.5000
Mo1 0.0000 0.0000 0.3028
Mo2 0.0000 0.0000 0.6972
Mo3 0.6667 0.3333 0.1350
Mo4 0.6667 0.3333 0.8650
C1 0.3333 0.6667 0.2297
C2 0.3333 0.6667 0.7703



No. 10
# Nd2Y2CI3Cl2

A relaxed structure of Nd2Y2CI3Cl2 (PBE-GGA, the Open Quantum Materials Database).

Properties
VASP energy ... -5.35 eV per atom
Polymorph energy (0 for the lowest one) ... 3 meV per atom

Cell: 9.5175 9.5175 8.5065 Å, 100.74 100.74 23.91°
Sites, in units of the cell vectors:
Nd1 0.1378 0.1378 0.0713
Nd2 0.8622 0.8622 0.9287
Y1 0.4983 0.4983 0.1907
Y2 0.5017 0.5017 0.8093
C1 0.0000 0.0000 0.0000
I1 0.0000 0.0000 0.5000
I2 0.3287 0.3287 0.2005
I3 0.6713 0.6713 0.7995
Cl1 0.3544 0.3544 0.6866
Cl2 0.6456 0.6456 0.3134



No. 11
# MgIr2Se4

A relaxed structure of MgIr2Se4 (PBE-GGA, the Open Quantum Materials Database).

Properties
VASP energy ... -4.89 eV per atom

Cell: 6.3412 6.3412 6.3412 Å, 125.22 125.22 81.17°
Sites, in units of the cell vectors:
Mg1 0.0000 0.0000 0.0000
Ir1 0.5000 0.5000 0.0000
Ir2 0.7500 0.2500 0.5000
Se1 0.1351 0.1049 0.5349
Se2 0.3998 0.8649 0.9698
Se3 0.5700 0.6002 0.4651
Se4 0.8951 0.4300 0.0302



No. 12
# Nd3Tl2AgHgPd2

A relaxed structure of Nd3Tl2AgHgPd2 (PBE-GGA, the Open Quantum Materials Database).

Properties
VASP energy ... -4.18 eV per atom

Cell: 3.9536 7.9638 7.9638 Å, 119.78 90.00 90.00°
Sites, in units of the cell vectors:
Nd1 0.0000 0.0000 0.0000
Nd2 0.0000 0.4194 0.8244
Nd3 0.0000 0.8244 0.4194
Tl1 0.5000 0.1496 0.4137
Tl2 0.5000 0.4137 0.1496
Ag1 0.0000 0.4180 0.4180
Hg1 0.5000 0.6855 0.6855
Pd1 0.5000 0.0854 0.7493
Pd2 0.5000 0.7493 0.0854



No. 13
# NaLiThTe3

A relaxed structure of NaLiThTe3 (PBE-GGA, the Open Quantum Materials Database).

Properties
VASP energy ... -4.45 eV per atom

Cell: 7.5054 7.5054 11.7961 Å, 90.00 90.00 145.07°
Sites, in units of the cell vectors:
Na1 0.2453 0.7547 0.7500
Na2 0.7547 0.2453 0.2500
Li1 0.4766 0.5234 0.2500
Li2 0.5234 0.4766 0.7500
Th1 0.0000 0.0000 0.0000
Th2 0.0000 0.0000 0.5000
Te1 0.0852 0.9148 0.2500
Te2 0.3593 0.6407 0.0678
Te3 0.3593 0.6407 0.4322
Te4 0.6407 0.3593 0.5678
Te5 0.6407 0.3593 0.9322
Te6 0.9148 0.0852 0.7500



No. 14
# NdHoSn2Pd4

A relaxed structure of NdHoSn2Pd4 (PBE-GGA, the Open Quantum Materials Database).

Properties
VASP energy ... -5.62 eV per atom

Cell: 4.6054 4.6054 9.0681 Å, 90.00 90.00 120.00°
Sites, in units of the cell vectors:
Nd1 0.0000 0.0000 0.0000
Ho1 0.3333 0.6667 0.5000
Sn1 0.6667 0.3333 0.2562
Sn2 0.6667 0.3333 0.7438
Pd1 0.0000 0.0000 0.3395
Pd2 0.0000 0.0000 0.6605
Pd3 0.3333 0.6667 0.1718
Pd4 0.3333 0.6667 0.8282



No. 15
# Y3HoTm2As2Os

A relaxed structure of Y3HoTm2As2Os (PBE-GGA, the Open Quantum Materials Database).

Properties
VASP energy ... -6.72 eV per atom

Cell: 4.1516 7.8482 7.8482 Å, 120.15 90.00 90.00°
Sites, in units of the cell vectors:
Y1 0.0000 0.0000 0.0000
Y2 0.0000 0.4039 0.8099
Y3 0.0000 0.8099 0.4039
Ho1 0.5000 0.6467 0.6467
Tm1 0.5000 0.1607 0.4041
Tm2 0.5000 0.4041 0.1607
As1 0.5000 0.0723 0.7371
As2 0.5000 0.7371 0.0723
Os1 0.0000 0.4004 0.4004



No. 16
# Gd3Er2Hg3

A relaxed structure of Gd3Er2Hg3 (PBE-GGA, the Open Quantum Materials Database).

Properties
VASP energy ... -3.27 eV per atom
Energy relative to the elements ... -0.273 eV per atom
Polymorph energy (0 for the lowest one) ... 0 meV per atom

Cell: 6.5100 5.3616 6.6096 Å, 90.00 112.54 90.00°
Sites, in units of the cell vectors:
Gd1 0.0000 0.0000 0.0000
Gd2 0.1907 0.5000 0.2773
Gd3 0.7250 0.5000 0.3377
Er1 0.2529 0.5000 0.7936
Er2 0.5076 0.0000 0.5648
Hg1 0.0116 0.0000 0.4992
Hg2 0.5016 0.0000 0.0643
Hg3 0.7386 0.5000 0.8270



No. 17
# YAlCoAg

A relaxed structure of YAlCoAg (PBE-GGA, the Open Quantum Materials Database).

Properties
VASP energy ... -5.20 eV per atom
Polymorph energy (0 for the lowest one) ... 0 meV per atom

Cell: 4.6412 4.6412 4.6412 Å, 60.00 60.00 60.00°
Sites, in units of the cell vectors:
Y1 0.0000 0.0000 0.0000
Al1 0.5000 0.5000 0.5000
Co1 0.7500 0.7500 0.7500
Ag1 0.2500 0.2500 0.2500



No. 18
# KDyCuS3

A relaxed structure of KDyCuS3 (PBE-GGA, the Open Quantum Materials Database).

Properties
VASP energy ... -4.90 eV per atom

Cell: 8.6273 3.9393 9.2727 Å, 90.00 107.09 90.00°
Sites, in units of the cell vectors:
K1 0.2042 0.2500 0.2355
K2 0.7958 0.7500 0.7645
Dy1 0.3268 0.7500 0.8570
Dy2 0.6732 0.2500 0.1430
Cu1 0.0837 0.2500 0.6046
Cu2 0.9163 0.7500 0.3954
S1 0.1090 0.2500 0.8579
S2 0.1866 0.7500 0.5391
S3 0.4596 0.7500 0.1601
S4 0.5404 0.2500 0.8399
S5 0.8134 0.2500 0.4609
S6 0.8910 0.7500 0.1421



No. 19
# Li4AlZnPt2

A relaxed structure of Li4AlZnPt2 (PBE-GGA, the Open Quantum Materials Database).

Properties
VASP energy ... -3.73 eV per atom

Cell: 4.2576 4.2576 6.0614 Å, 90.00 90.00 90.00°
Sites, in units of the cell vectors:
Li1 0.0000 0.0000 0.0000
Li2 0.0000 0.5000 0.7404
Li3 0.5000 0.0000 0.2596
Li4 0.5000 0.5000 0.5000
Al1 0.5000 0.5000 0.0000
Zn1 0.0000 0.0000 0.5000
Pt1 0.0000 0.5000 0.2382
Pt2 0.5000 0.0000 0.7618



No. 20
# NdCuAu

A relaxed structure of NdCuAu (PBE-GGA, the Open Quantum Materials Database).

Properties
VASP energy ... -4.46 eV per atom
Energy relative to the elements ... -0.544 eV per atom
Polymorph energy (0 for the lowest one) ... 0 meV per atom

Cell: 5.8099 5.8099 5.8099 Å, 134.44 102.01 95.26°
Sites, in units of the cell vectors:
Nd1 0.0000 0.0000 0.0000
Nd2 0.5674 0.0674 0.5000
Cu1 0.4068 0.6988 0.7080
Cu2 0.9908 0.6988 0.2920
Au1 0.1511 0.3687 0.7824
Au2 0.5864 0.3687 0.2176